Below is a relaxed structure of SrFe2HgB, with properties calculated at the GGA-PBE level.

Computed properties:
For the total energy, the calculation gives -4.651 eV per atom. The space group is P4/mmm.

POSCAR file:
```
SrFe2HgB
1.0
4.3399 0.0000 0.0000
0.0000 4.6081 0.0000
0.0000 0.0000 4.3399
Sr Fe Hg B
1 2 1 1
direct
0.5000 0.5000 0.5000
0.5000 0.0000 0.0000
0.0000 0.0000 0.5000
0.0000 0.5000 0.0000
0.0000 0.0000 0.0000
```